Entry 1:
The following is a PBE-GGA calculation of a geometry-optimized NaAc2Ni3Sb4 structure, from the Alexandria database.

Calculated values
Energy relative to the elements, uncorrected = -0.59 eV/atom

abc: 4.671 4.671 10.631
angles: 90.00 90.00 90.00
Space group P-4m2 (No. 115)
Unique sites:
Na1 0.000 0.000 0.000
Ac1 0.000 0.500 0.745
Ni1 0.000 0.500 0.390
Ni2 0.500 0.500 0.000
Sb1 0.000 0.000 0.500
Sb2 0.000 0.500 0.147
Sb3 0.500 0.500 0.500

=====

Entry 2:
The following is a PBE-GGA calculation of a geometry-optimized Na3Ac2NpO6 structure, from the Alexandria database.

Calculated values
Energy relative to the elements, uncorrected = -2.40 eV/atom

abc: 6.396 11.242 6.081
angles: 90.00 109.15 90.00
Space group C2/m (No. 12)
Unique sites:
Na1 0.000 0.000 0.000
Na2 0.000 0.355 0.000
Ac1 0.000 0.168 0.500
Np1 0.000 0.500 0.500
O1 0.221 0.346 0.716
O2 0.247 0.500 0.282

=====

Entry 3:
The following is a PBE-GGA calculation of a geometry-optimized Na2AcNpO4 structure, from the Alexandria database.

Calculated values
Energy relative to the elements, uncorrected = -2.33 eV/atom

abc: 6.127 3.642 6.375
angles: 90.00 111.14 90.00
Space group P2/m (No. 10)
Unique sites:
Na1 0.000 0.000 0.000
Na2 0.000 0.500 0.500
Ac1 0.500 0.000 0.500
Np1 0.500 0.500 0.000
O1 0.280 0.500 0.236
O2 0.286 0.000 0.780

=====

Entry 4:
The following is a PBE-GGA calculation of a geometry-optimized NaAc2NpO8 structure, from the Alexandria database.

Calculated values
Energy relative to the elements, uncorrected = -2.54 eV/atom

abc: 4.476 7.925 5.237
angles: 90.00 95.86 90.00
Space group P2/m (No. 10)
Unique sites:
Na1 0.000 0.000 0.000
Ac1 0.500 0.255 0.500
Np1 0.000 0.500 0.000
O1 0.047 0.304 0.761
O2 0.423 0.500 0.227
O3 0.498 0.000 0.146

=====

Entry 5:
The following is a PBE-GGA calculation of a geometry-optimized Na2AcNpO6 structure, from the Alexandria database.

Calculated values
Energy relative to the elements, uncorrected = -2.59 eV/atom

abc: 5.914 6.137 10.391
angles: 90.00 124.54 90.00
Space group P2_1/c (No. 14)
Unique sites:
Na1 0.239 0.035 0.239
Ac1 0.000 0.000 0.500
Np1 0.500 0.000 0.000
O1 0.164 0.161 0.954
O2 0.275 0.721 0.928
O3 0.386 0.067 0.778

=====

Entry 6:
The following is a PBE-GGA calculation of a geometry-optimized Na2Ac2NpO6 structure, from the Alexandria database.

Calculated values
Energy relative to the elements, uncorrected = -2.63 eV/atom

abc: 6.489 11.267 5.925
angles: 90.00 104.46 90.00
Space group C2/m (No. 12)
Unique sites:
Na1 0.000 0.140 0.000
Ac1 0.000 0.335 0.500
Np1 0.000 0.000 0.500
O1 0.191 0.160 0.693
O2 0.233 0.000 0.293

=====

Entry 7:
The following is a PBE-GGA calculation of a geometry-optimized NaAcNpO4 structure, from the Alexandria database.

Calculated values
Energy relative to the elements, uncorrected = -2.73 eV/atom

abc: 7.018 7.701 10.318
angles: 90.00 90.00 90.00
Space group Imma (No. 74)
Unique sites:
Na1 0.000 0.250 0.093
Ac1 0.000 0.000 0.500
Np1 0.250 0.250 0.750
O1 0.000 0.062 0.741
O2 0.226 0.250 0.534

=====

Entry 8:
The following is a PBE-GGA calculation of a geometry-optimized NaAc2NpO6 structure, from the Alexandria database.

Calculated values
Energy relative to the elements, uncorrected = -2.97 eV/atom

abc: 6.1875 6.1875 15.2377
angles: 90.00 90.00 120.00
Space group R3 (No. 146, hexagonal axes)
Unique sites:
Na1 0.0000 0.0000 0.0000
Ac1 0.0000 0.0000 0.2279
Ac2 0.0000 0.0000 0.7333
Np1 0.0000 0.0000 0.5084
O1 0.0275 0.7470 0.5981
O2 0.0587 0.3340 0.1083

=====

Entry 9:
The following is a PBE-GGA calculation of a geometry-optimized Na2AcNpS4 structure, from the Alexandria database.

Calculated values
Energy relative to the elements, uncorrected = -1.55 eV/atom

abc: 7.131 4.200 7.315
angles: 90.00 110.17 90.00
Space group P2/m (No. 10)
Unique sites:
Na1 0.000 0.000 0.000
Na2 0.000 0.500 0.500
Ac1 0.500 0.000 0.500
Np1 0.500 0.500 0.000
S1 0.261 0.500 0.238
S2 0.272 0.000 0.772

=====

Entry 10:
The following is a PBE-GGA calculation of a geometry-optimized NaAc2NpSe5 structure, from the Alexandria database.

Calculated values
Energy relative to the elements, uncorrected = -1.57 eV/atom

abc: 4.376 17.900 13.141
angles: 90.00 90.00 90.00
Space group Cmc2_1 (No. 36)
Unique sites:
Na1 0.000 0.031 0.000
Ac1 0.000 0.367 0.831
Ac2 0.000 0.395 0.217
Np1 0.000 0.297 0.541
Se1 0.000 0.006 0.302
Se2 0.000 0.134 0.532
Se3 0.000 0.189 0.890
Se4 0.000 0.219 0.192
Se5 0.000 0.443 0.611

=====

Entry 11:
The following is a PBE-GGA calculation of a geometry-optimized NaAc2NpSe6 structure, from the Alexandria database.

Calculated values
Energy relative to the elements, uncorrected = -1.52 eV/atom

abc: 7.139 7.994 12.367
angles: 90.00 122.88 90.00
Space group P2_1/c (No. 14)
Unique sites:
Na1 0.000 0.000 0.000
Ac1 0.206 0.100 0.746
Np1 0.500 0.000 0.500
Se1 0.127 0.175 0.443
Se2 0.269 0.699 0.431
Se3 0.390 0.044 0.254

=====

Entry 12:
The following is a PBE-GGA calculation of a geometry-optimized NaAc2NpTe5 structure, from the Alexandria database.

Calculated values
Energy relative to the elements, uncorrected = -1.16 eV/atom

abc: 4.632 19.199 14.106
angles: 90.00 90.00 90.00
Space group Cmc2_1 (No. 36)
Unique sites:
Na1 0.000 0.036 0.000
Ac1 0.000 0.367 0.836
Ac2 0.000 0.395 0.220
Np1 0.000 0.298 0.544
Te1 0.000 0.007 0.305
Te2 0.000 0.134 0.534
Te3 0.000 0.189 0.888
Te4 0.000 0.219 0.196
Te5 0.000 0.444 0.617